(1)
Material: SmInIr
Method: DFT, PBE
State: optimized geometry

Cell and atoms, written as POSCAR:
```
SmInIr
1.0
-1.898 2.645 0.810
-1.623 -0.269 -2.923
-2.182 -4.789 3.577
In Ir Sm
1 1 1
direct
0.309 0.309 0.619
0.944 0.944 0.888
0.597 0.597 0.194
```

Output
Total DFT energy (no corrections) in eV/atom: -5.8446

---

(2)
Material: Sm8In2Ir3
Method: DFT, PBE
State: optimized geometry

Cell and atoms, written as POSCAR:
```
Sm8In2Ir3
1.0
-5.411 2.895 3.221
-0.933 -6.403 4.188
7.401 4.944 2.114
Sm Ir In
8 3 2
direct
0.404 0.353 0.193
0.404 0.840 0.193
0.019 0.357 0.714
0.920 0.090 0.181
0.596 0.647 0.807
0.596 0.160 0.807
0.981 0.643 0.286
0.080 0.910 0.819
0.500 0.000 0.000
0.000 0.303 0.000
0.000 0.697 0.000
0.648 0.753 0.506
0.352 0.247 0.494
```

Output
Total DFT energy (no corrections) in eV/atom: -5.7648
Energy relative to the lowest polymorph listed for this composition in eV per atom: 0.041

---

(3)
Material: Sm8In2Ir3
Method: DFT, PBE
State: optimized geometry

Cell and atoms, written as POSCAR:
```
Sm8In2Ir3
1.0
-1.395 -1.103 4.706
-6.044 -7.294 -3.501
8.619 -1.250 2.262
Ir Sm In
3 8 2
direct
0.000 0.255 0.000
0.500 0.000 0.000
0.000 0.745 0.000
0.000 0.611 0.222
0.500 0.642 0.776
0.500 0.358 0.224
0.000 0.389 0.778
0.500 0.134 0.775
0.000 0.887 0.773
0.000 0.113 0.227
0.500 0.866 0.225
0.500 0.744 0.489
0.500 0.256 0.511
```

Output
Total DFT energy (no corrections) in eV/atom: -5.8057
Energy relative to the lowest polymorph listed for this composition in eV per atom: 0.000

---

(4)
Material: Sm3InIr2
Method: DFT, PBE
State: optimized geometry

Cell and atoms, written as POSCAR:
```
Sm3InIr2
1.0
6.780 0.000 0.000
0.000 7.190 0.000
-3.390 -3.595 6.657
Ir Sm In
4 6 2
direct
0.155 0.863 0.726
0.571 0.363 0.726
0.845 0.137 0.274
0.429 0.637 0.274
0.778 0.028 0.556
0.500 0.750 0.000
0.778 0.528 0.556
0.222 0.472 0.444
0.222 0.972 0.444
0.500 0.250 0.000
0.000 0.000 0.000
0.000 0.500 0.000
```

Output
Total DFT energy (no corrections) in eV/atom: -6.3595

---

(5)
Material: SmIn2Ir
Method: DFT, PBE
State: optimized geometry

Cell and atoms, written as POSCAR:
```
SmIn2Ir
1.0
-2.353 2.080 3.025
4.672 -2.252 2.060
4.026 6.885 -1.602
Sm In Ir
2 4 2
direct
0.429 0.861 0.750
0.571 0.139 0.250
0.855 0.711 0.051
0.145 0.289 0.551
0.855 0.711 0.449
0.145 0.289 0.949
0.278 0.557 0.250
0.722 0.443 0.750
```

Output
Total DFT energy (no corrections) in eV/atom: -5.2982

---

(6)
Material: Sm8InIr2
Method: DFT, PBE
State: optimized geometry

Cell and atoms, written as POSCAR:
```
Sm8InIr2
1.0
-0.144 -4.421 3.357
7.128 -1.622 -3.520
0.462 5.665 5.790
Sm Ir In
8 2 1
direct
0.699 0.389 0.389
0.500 0.750 0.250
0.067 0.070 0.326
0.500 0.250 0.750
0.933 0.674 0.930
0.067 0.326 0.070
0.933 0.930 0.674
0.301 0.611 0.611
0.000 0.692 0.308
0.000 0.308 0.692
0.500 0.000 0.000
```

Output
Total DFT energy (no corrections) in eV/atom: -5.6511

---

(7)
Material: Sm6In3Ir
Method: DFT, PBE
State: optimized geometry

Cell and atoms, written as POSCAR:
```
Sm6In3Ir
1.0
-1.241 1.700 -4.905
0.125 -8.891 -3.112
-10.820 2.311 3.538
In Sm Ir
6 12 2
direct
0.750 0.598 0.219
0.750 0.227 0.025
0.250 0.514 0.378
0.750 0.486 0.622
0.250 0.402 0.781
0.250 0.773 0.975
0.250 0.218 0.498
0.750 0.147 0.671
0.750 0.543 0.916
0.750 0.901 0.143
0.750 0.873 0.849
0.250 0.687 0.667
0.250 0.853 0.329
0.750 0.782 0.502
0.250 0.099 0.857
0.250 0.457 0.084
0.250 0.127 0.151
0.750 0.313 0.333
0.750 0.042 0.404
0.250 0.958 0.596
```

Output
Total DFT energy (no corrections) in eV/atom: -4.9631
Energy relative to the lowest polymorph listed for this composition in eV per atom: 0.000

---

(8)
Material: SmInIr
Method: DFT, PBE
State: optimized geometry

Cell and atoms, written as POSCAR:
```
SmInIr
1.0
4.739 0.000 0.000
2.369 4.104 0.000
2.369 1.368 3.869
Ir Sm In
1 1 1
direct
0.250 0.250 0.250
0.500 0.500 0.500
0.000 0.000 0.000
```

Output
Total DFT energy (no corrections) in eV/atom: -5.9502

---

(9)
Material: Sm3InIr
Method: DFT, PBE
State: optimized geometry

Cell and atoms, written as POSCAR:
```
Sm3InIr
1.0
4.955 0.000 0.000
0.000 7.390 0.000
0.000 0.000 15.259
Sm In Ir
12 4 4
direct
0.750 0.987 0.601
0.750 0.804 0.223
0.750 0.134 0.042
0.750 0.487 0.899
0.750 0.634 0.458
0.250 0.366 0.542
0.750 0.304 0.277
0.250 0.196 0.777
0.250 0.696 0.723
0.250 0.513 0.101
0.250 0.866 0.958
0.250 0.013 0.399
0.250 0.078 0.176
0.750 0.422 0.676
0.250 0.578 0.324
0.750 0.922 0.824
0.750 0.228 0.456
0.250 0.772 0.544
0.750 0.728 0.044
0.250 0.272 0.956
```

Output
Total DFT energy (no corrections) in eV/atom: -5.6991
Energy relative to the lowest polymorph listed for this composition in eV per atom: 0.000

---

(10)
Material: Sm2InIr
Method: DFT, PBE
State: optimized geometry

Cell and atoms, written as POSCAR:
```
Sm2InIr
1.0
3.608 0.000 0.000
0.000 7.197 0.000
0.000 0.000 7.670
In Sm Ir
2 4 2
direct
0.000 0.250 0.491
0.000 0.750 0.509
0.500 0.995 0.216
0.500 0.005 0.784
0.500 0.505 0.216
0.500 0.495 0.784
0.000 0.750 0.981
0.000 0.250 0.019
```

Output
Total DFT energy (no corrections) in eV/atom: -5.8398
Energy relative to the lowest polymorph listed for this composition in eV per atom: 0.000

---

(11)
Material: Sm6In2Ir
Method: DFT, PBE
State: optimized geometry

Cell and atoms, written as POSCAR:
```
Sm6In2Ir
1.0
-0.257 4.105 3.266
-4.204 -3.922 4.599
8.415 -2.539 -0.366
Sm Ir In
6 1 2
direct
0.153 0.395 0.307
0.500 0.775 0.000
0.847 0.605 0.693
0.153 0.913 0.307
0.847 0.087 0.693
0.500 0.225 0.000
0.000 0.000 0.000
0.333 0.333 0.665
0.667 0.667 0.335
```

Output
Total DFT energy (no corrections) in eV/atom: -4.9987
Energy relative to the lowest polymorph listed for this composition in eV per atom: 0.168

---

(12)
Material: Sm2InIr
Method: DFT, PBE
State: optimized geometry

Cell and atoms, written as POSCAR:
```
Sm2InIr
1.0
-4.463 2.560 0.606
-2.911 1.145 -4.130
-4.509 -2.440 -0.749
Ir In Sm
1 1 2
direct
0.500 0.500 0.500
0.000 0.000 0.000
0.250 0.250 0.250
0.750 0.750 0.750
```

Output
Total DFT energy (no corrections) in eV/atom: -5.7159
Energy relative to the lowest polymorph listed for this composition in eV per atom: 0.124

---

(13)
Material: SmInIr
Method: DFT, PBE
State: optimized geometry

Cell and atoms, written as POSCAR:
```
SmInIr
1.0
-0.818 0.686 -7.504
1.895 -6.693 3.009
-3.912 -0.955 0.339
Sm In Ir
3 3 3
direct
0.592 0.592 0.000
0.408 0.000 0.000
0.000 0.408 0.000
0.000 0.746 0.500
0.254 0.254 0.500
0.746 0.000 0.500
0.333 0.667 0.500
0.000 0.000 0.000
0.667 0.333 0.500
```

Output
Total DFT energy (no corrections) in eV/atom: -6.1042

---

(14)
Material: SmIn2Ir
Method: DFT, PBE
State: optimized geometry

Cell and atoms, written as POSCAR:
```
SmIn2Ir
1.0
-0.826 1.484 -2.826
-1.848 -1.591 -2.219
-9.579 3.746 2.841
Ir In Sm
1 2 1
direct
0.500 0.500 0.500
0.102 0.102 0.693
0.898 0.898 0.307
0.000 0.000 0.000
```

Output
Total DFT energy (no corrections) in eV/atom: -4.5329

---

(15)
Material: Sm2InIr
Method: DFT, PBE
State: optimized geometry

Cell and atoms, written as POSCAR:
```
Sm2InIr
1.0
3.597 0.000 0.000
0.000 3.597 0.000
0.000 0.000 7.704
Sm In Ir
2 1 1
direct
0.000 0.000 0.216
0.000 0.000 0.784
0.500 0.500 0.500
0.500 0.500 0.000
```

Output
Total DFT energy (no corrections) in eV/atom: -5.8393
Energy relative to the lowest polymorph listed for this composition in eV per atom: 0.000

---

(16)
Material: SmIn12Ir6
Method: DFT, PBE
State: optimized geometry

Cell and atoms, written as POSCAR:
```
SmIn12Ir6
1.0
-4.107 -6.692 0.267
5.578 -0.660 5.492
-4.865 5.631 2.519
Ir In Sm
6 12 1
direct
0.694 0.271 0.271
0.306 0.729 0.729
0.729 0.729 0.306
0.729 0.306 0.729
0.271 0.271 0.694
0.271 0.694 0.271
0.881 0.500 0.119
0.119 0.500 0.881
0.854 0.594 0.594
0.146 0.406 0.406
0.119 0.881 0.500
0.881 0.119 0.500
0.406 0.146 0.406
0.500 0.119 0.881
0.500 0.881 0.119
0.594 0.594 0.854
0.594 0.854 0.594
0.406 0.406 0.146
0.000 0.000 0.000
```

Output
Total DFT energy (no corrections) in eV/atom: -4.8730

---

(17)
Material: SmIn2Ir
Method: DFT, PBE
State: optimized geometry

Cell and atoms, written as POSCAR:
```
SmIn2Ir
1.0
5.633 0.000 0.000
0.000 8.148 0.000
0.000 0.000 15.943
In Sm Ir
16 8 8
direct
0.530 0.451 0.714
0.030 0.549 0.786
0.970 0.049 0.214
0.248 0.450 0.463
0.748 0.950 0.037
0.470 0.549 0.286
0.252 0.050 0.963
0.030 0.951 0.786
0.752 0.550 0.537
0.748 0.550 0.037
0.252 0.450 0.963
0.752 0.950 0.537
0.470 0.951 0.286
0.530 0.049 0.714
0.970 0.451 0.214
0.248 0.050 0.463
0.541 0.750 0.860
0.241 0.750 0.104
0.959 0.750 0.360
0.041 0.250 0.640
0.741 0.250 0.396
0.259 0.750 0.604
0.459 0.250 0.140
0.759 0.250 0.896
0.474 0.750 0.429
0.253 0.250 0.819
0.747 0.750 0.181
0.974 0.250 0.071
0.026 0.750 0.929
0.526 0.250 0.571
0.753 0.750 0.681
0.247 0.250 0.319
```

Output
Total DFT energy (no corrections) in eV/atom: -5.2829

---

(18)
Material: Sm6In2Ir
Method: DFT, PBE
State: optimized geometry

Cell and atoms, written as POSCAR:
```
Sm6In2Ir
1.0
3.910 0.000 0.000
0.000 8.000 -3.684
0.000 -0.812 8.765
Sm Ir In
6 1 2
direct
0.000 0.757 0.758
0.000 0.999 0.242
0.500 0.605 0.000
0.000 0.243 0.000
0.500 0.394 0.394
0.500 0.000 0.606
0.500 0.001 0.000
0.000 0.333 0.666
0.000 0.667 0.334
```

Output
Total DFT energy (no corrections) in eV/atom: -5.1668
Energy relative to the lowest polymorph listed for this composition in eV per atom: 0.000

---

(19)
Material: SmInIr2
Method: DFT, PBE
State: optimized geometry

Cell and atoms, written as POSCAR:
```
SmInIr2
1.0
-2.444 1.961 -2.055
-2.388 -3.755 -0.743
-2.448 0.826 3.698
Sm Ir In
1 2 1
direct
0.500 0.500 0.500
0.000 0.500 0.000
0.000 0.000 0.500
0.500 0.000 0.000
```

Output
Total DFT energy (no corrections) in eV/atom: -6.7060

---

(20)
Material: SmInIr
Method: DFT, PBE
State: optimized geometry

Cell and atoms, written as POSCAR:
```
SmInIr
1.0
-2.025 -0.674 -2.736
-0.182 -4.559 1.257
-3.234 3.039 1.645
Ir Sm In
1 1 1
direct
0.167 0.000 0.000
0.666 0.667 0.333
0.167 0.333 0.667
```

Output
Total DFT energy (no corrections) in eV/atom: -5.8689